1.
Tl2SiSe: optimized geometry, PBE-GGA.

Its density of states at the Fermi level is 1.6 states/eV per cell. As for the space-group type: Pmmm (47). The formation energy without anion corrections is 0.292 eV per atom. As for the energy relative to the lowest polymorph listed for this composition: 271 meV per atom.

Cell: 4.1674 4.7538 5.1908 Å, 90.00 90.00 90.00°
With the nearest neighbours (Å) after each atom.
Atoms (fractional coordinates):
Tl 0.0000 0.0000 0.0000  4 Tl 3.16, 4 Se 3.33, 4 Si 3.52
Tl 0.5000 0.5000 0.0000  4 Tl 3.16, 4 Si 3.33, 4 Se 3.52
Si 0.0000 0.5000 0.5000  4 Se 3.16, 8 Tl 3.33-3.52
Se 0.5000 0.0000 0.5000  4 Si 3.16, 8 Tl 3.33-3.52

***

2.
Tb8Pr4Tm3: optimized geometry, PBE-GGA.

Its density of states at the Fermi level is 29.2 states/eV per cell. As for the space-group type: C2/m (12). As for the formation energy: 0.358 eV per atom.

Cell: 9.3136 9.3136 6.7872 Å, 111.19 111.19 87.28°
With the nearest neighbours (Å) after each atom.
Atoms (fractional coordinates):
Tb 0.1384 0.8616 0.0000  7 Tb 3.56-3.66, 4 Tm 3.66-3.83, 2 Pr 3.68
Tb 0.2269 0.2269 0.4559  1 Tm 3.22, 3 Pr 3.23-3.54, 4 Tb 3.25-3.56
Tb 0.2328 0.2328 0.9833  3 Tm 3.21-3.22, 2 Tb 3.25-3.54, 2 Pr 3.55-3.56
Tb 0.2437 0.7563 0.5000  3 Tm 3.13-3.38, 3 Pr 3.29-3.37
Tb 0.7563 0.2437 0.5000  3 Tm 3.13-3.38, 3 Pr 3.29-3.37
Tb 0.7672 0.7672 0.0167  3 Tm 3.21-3.22, 2 Tb 3.25-3.54, 2 Pr 3.55-3.56
Tb 0.7731 0.7731 0.5441  1 Tm 3.22, 3 Pr 3.23-3.54, 4 Tb 3.25-3.56
Tb 0.8616 0.1384 0.0000  7 Tb 3.56-3.66, 4 Tm 3.66-3.83, 2 Pr 3.68
Pr 0.0000 0.5000 0.5000  4 Tb 3.23-3.37, 2 Tm 3.39
Pr 0.5000 0.0000 0.5000  4 Tb 3.23-3.37, 2 Tm 3.39
Pr 0.5000 0.5000 0.0000  2 Pr 3.39, 4 Tb 3.55-3.69
Pr 0.5000 0.5000 0.5000  6 Tb 3.29-3.56, 2 Pr 3.39
Tm 0.0000 0.0000 0.5000  6 Tb 3.13-3.22
Tm 0.0000 0.5000 0.0000  4 Tb 3.22-3.38, 2 Pr 3.39
Tm 0.5000 0.0000 0.0000  4 Tb 3.22-3.38, 2 Pr 3.39

***

3.
LiAc2Mg6In: optimized geometry, PBE-GGA.

Its density of states at the Fermi level is 14.0 states/eV per cell. As for the space-group type: R-3m (166). As for the formation energy: -0.044 eV per atom.

Cell: 13.3054 13.3054 13.3054 Å, 31.00 31.00 31.00°
With the nearest neighbours (Å) after each atom.
Atoms (fractional coordinates):
Li 0.0000 0.0000 0.0000  6 Mg 2.57
Li 0.5000 0.5000 0.5000  6 Mg 2.64, 2 In 2.85
Ac 0.1103 0.1103 0.1103  12 Mg 3.71-3.79
Ac 0.2813 0.2813 0.2813  12 Mg 3.63-3.65
Ac 0.7187 0.7187 0.7187  12 Mg 3.63-3.65
Ac 0.8897 0.8897 0.8897  12 Mg 3.71-3.79
Mg 0.0826 0.6635 0.6635  1 Li 2.64, 1 In 2.94
Mg 0.2169 0.2169 0.6588  1 Li 2.57
Mg 0.2169 0.6588 0.2169  1 Li 2.57
Mg 0.3365 0.3365 0.9174  1 Li 2.64, 1 In 2.94
Mg 0.3365 0.9174 0.3365  1 Li 2.64, 1 In 2.94
Mg 0.3412 0.7831 0.7831  1 Li 2.57
Mg 0.6588 0.2169 0.2169  1 Li 2.57
Mg 0.6635 0.0826 0.6635  1 Li 2.64, 1 In 2.94
Mg 0.6635 0.6636 0.0826  1 Li 2.64, 1 In 2.94
Mg 0.7831 0.3412 0.7831  1 Li 2.57
Mg 0.7831 0.7831 0.3412  1 Li 2.57
Mg 0.9174 0.3365 0.3365  1 Li 2.64, 1 In 2.94
In 0.4248 0.4248 0.4248  1 Li 2.85, 6 Mg 2.93-2.94
In 0.5752 0.5752 0.5752  1 Li 2.85, 6 Mg 2.93-2.94

***

4.
Zr2CdCl: optimized geometry, PBE-GGA.

Its density of states at the Fermi level is 7.1 states/eV per cell. As for the space-group type: Fm-3m (225). The formation energy without anion corrections is -0.022 eV per atom. As for the energy relative to the lowest polymorph listed for this composition: 497 meV per atom.

Cell: 4.9099 4.9099 4.9099 Å, 60.00 60.00 60.00°
With the nearest neighbours (Å) after each atom.
Atoms (fractional coordinates):
Zr 0.2500 0.2500 0.2500  4 Cl 3.01, 4 Cd 3.01
Zr 0.7500 0.7500 0.7500  4 Cl 3.01, 4 Cd 3.01
Cd 0.0000 0.0000 0.0000  8 Zr 3.01
Cl 0.5000 0.5000 0.5000  8 Zr 3.01

***

5.
ScZnCu: optimized geometry, PBE-GGA.

Its density of states at the Fermi level is 3.5 states/eV per cell. As for the space-group type: Ima2 (46). As for the formation energy: -0.281 eV per atom.

Cell: 5.3019 5.3019 5.3019 Å, 132.14 90.94 108.22°
With the nearest neighbours (Å) after each atom.
Atoms (fractional coordinates):
Sc 0.2192 0.2500 0.4692  6 Cu 2.84-3.05, 6 Zn 2.90-3.02, 2 Sc 3.14
Sc 0.7808 0.7500 0.5308  6 Cu 2.84-3.05, 6 Zn 2.90-3.02, 2 Sc 3.14
Zn 0.6245 0.9605 0.1641  2 Cu 2.49-2.69, 2 Zn 2.50
Zn 0.7964 0.4605 0.8359  2 Cu 2.49-2.69, 2 Zn 2.50
Cu 0.1933 0.5276 0.1657  2 Zn 2.49-2.69, 2 Cu 2.49
Cu 0.3620 0.0276 0.8343  2 Zn 2.49-2.69, 2 Cu 2.49

***

6.
Y4Tl5Cu2: optimized geometry, PBE-GGA.

Its density of states at the Fermi level is 8.2 states/eV per cell. As for the space-group type: P2/m (10). As for the formation energy: -0.281 eV per atom.

Cell: 7.9058 3.6919 9.5725 Å, 90.00 92.98 90.00°
With the nearest neighbours (Å) after each atom.
Atoms (fractional coordinates):
Y 0.1982 0.0000 0.3490  2 Cu 2.97, 6 Tl 3.27-3.31
Y 0.2166 0.0000 0.9238  4 Cu 2.93-2.95
Y 0.7834 0.0000 0.0762  4 Cu 2.93-2.95
Y 0.8018 0.0000 0.6510  2 Cu 2.97, 6 Tl 3.27-3.31
Tl 0.1414 0.5000 0.6383  1 Cu 2.90, 1 Tl 3.19
Tl 0.4490 0.5000 0.1613  1 Cu 2.99, 2 Tl 3.23-3.25, 2 Y 3.31
Tl 0.5000 0.5000 0.5000  4 Tl 3.19-3.25, 4 Y 3.29
Tl 0.5510 0.5000 0.8387  1 Cu 2.99, 2 Tl 3.23-3.25, 2 Y 3.31
Tl 0.8586 0.5000 0.3617  1 Cu 2.90, 1 Tl 3.19
Cu 0.0713 0.5000 0.1236  1 Cu 2.57
Cu 0.9287 0.5000 0.8764  1 Cu 2.57

***

7.
BaHf3Bi: optimized geometry, PBE-GGA.

Its density of states at the Fermi level is 8.7 states/eV per cell. As for the space-group type: Pm-3m (221). As for the formation energy: 1.064 eV per atom. As for the energy relative to the lowest polymorph listed for this composition: 0 meV per atom.

Cell: 5.5480 5.5480 5.5480 Å, 90.00 90.00 90.00°
With the nearest neighbours (Å) after each atom.
Atoms (fractional coordinates):
Ba 0.0000 0.0000 0.0000  12 Hf 3.92
Hf 0.0000 0.5000 0.5000  2 Bi 2.77
Hf 0.5000 0.0000 0.5000  2 Bi 2.77
Hf 0.5000 0.5000 0.0000  2 Bi 2.77
Bi 0.5000 0.5000 0.5000  6 Hf 2.77

***

8.
TaReBRu2: optimized geometry, PBE-GGA.

Its density of states at the Fermi level is 2.2 states/eV per cell. As for the space-group type: P4/mmm (123). As for the formation energy: -0.235 eV per atom.

Cell: 4.0725 4.0725 4.1570 Å, 90.00 90.00 90.00°
With the nearest neighbours (Å) after each atom.
Atoms (fractional coordinates):
Ta 0.0000 0.0000 0.0000  4 Re 2.88, 8 Ru 2.91
Re 0.5000 0.5000 0.0000  2 B 2.08
B 0.5000 0.5000 0.5000  4 Ru 2.04, 2 Re 2.08
Ru 0.0000 0.5000 0.5000  2 B 2.04
Ru 0.5000 0.0000 0.5000  2 B 2.04